DFT (GGA-PBE) results for a geometry-optimized NaCoSiI2 structure.

Values from the calculation:
The density is 4.26 g/cm³. The calculation puts the formation energy without anion corrections at 680 meV/atom.

a b c (Å): 5.175 5.293 5.175
angles (deg): 90.00 90.00 90.00
Site moments in Bohr magnetons follow the coordinates.
Fractional positions:
1 I 0.500 0.000 0.000  0.01
2 I 0.000 0.000 0.500  0.04
3 Si 0.500 0.500 0.500  0.33
4 Co 0.000 0.000 0.000  1.11
5 Na 0.000 0.500 0.000  -0.01